[1]
The following is a PBE+U calculation of Rb2AcCr3F12 after structural relaxation, from the Alexandria database.

Unit cell a=7.2372 b=7.2372 c=7.2372 alpha=66.49 beta=66.49 gamma=66.49
Atoms (fractional coordinates):
1 Rb 0.1136 0.1136 0.1136
2 Rb 0.8864 0.8864 0.8864
3 Ac 0.5000 0.5000 0.5000
4 Cr 0.0000 0.5000 0.5000
5 Cr 0.5000 0.0000 0.5000
6 Cr 0.5000 0.5000 0.0000
7 F 0.0963 0.6286 0.6286
8 F 0.2367 0.2367 0.5954
9 F 0.2367 0.5954 0.2367
10 F 0.3714 0.3714 0.9037
11 F 0.3714 0.9037 0.3714
12 F 0.4046 0.7633 0.7633
13 F 0.5954 0.2367 0.2367
14 F 0.6286 0.0963 0.6286
15 F 0.6286 0.6286 0.0963
16 F 0.7633 0.4046 0.7633
17 F 0.7633 0.7633 0.4046
18 F 0.9037 0.3714 0.3714

Summary:
- SG: No. 166
- Magnetic moment: 11.0 μB/f.u.
- DFT total energy: -5.860 eV/atom

[2]
The following is a PBE+U calculation of AcTlCrF6 after structural relaxation, from the Alexandria database.

Unit cell a=7.7905 b=7.7905 c=7.7905 alpha=118.96 beta=116.19 gamma=94.27
Atoms (fractional coordinates):
1 Ac 0.0000 0.0000 0.0000
2 Ac 0.5000 0.0000 0.5000
3 Tl 0.3115 0.5615 0.7500
4 Tl 0.6885 0.4385 0.2500
5 Cr 0.0000 0.0000 0.5000
6 Cr 0.0000 0.5000 0.0000
7 F 0.0421 0.3910 0.2026
8 F 0.0421 0.8394 0.6511
9 F 0.1099 0.8599 0.2500
10 F 0.3116 0.1606 0.7026
11 F 0.3116 0.6090 0.1511
12 F 0.3781 0.1281 0.2500
13 F 0.6219 0.8719 0.7500
14 F 0.6884 0.3910 0.8489
15 F 0.6884 0.8394 0.2974
16 F 0.8901 0.1401 0.7500
17 F 0.9579 0.1606 0.3489
18 F 0.9579 0.6090 0.7974

Summary:
- SG: No. 74
- Magnetic moment: 4.0 μB/f.u.
- DFT total energy: -5.874 eV/atom

[3]
The following is a PBE+U calculation of AcTl2CrF8 after structural relaxation, from the Alexandria database.

Unit cell a=4.4664 b=7.5068 c=6.4930 alpha=90.00 beta=94.89 gamma=90.00
Atoms (fractional coordinates):
1 Ac 0.0000 0.0000 0.0000
2 Tl 0.5000 0.2753 0.5000
3 Tl 0.5000 0.7247 0.5000
4 Cr 0.0000 0.5000 0.0000
5 F 0.0944 0.2926 0.8196
6 F 0.0944 0.7074 0.8196
7 F 0.3656 0.5000 0.1783
8 F 0.4878 0.0000 0.2095
9 F 0.5122 0.0000 0.7905
10 F 0.6344 0.5000 0.8217
11 F 0.9056 0.2926 0.1804
12 F 0.9056 0.7074 0.1804

Summary:
- SG: No. 10
- Magnetic moment: 3.0 μB/f.u.
- DFT total energy: -5.454 eV/atom

[4]
The following is a PBE+U calculation of Ac2CrFeO6 after structural relaxation, from the Alexandria database.

Unit cell a=5.6548 b=5.6548 c=3.9986 alpha=90.00 beta=90.00 gamma=90.00
Atoms (fractional coordinates):
1 Ac 0.0000 0.5000 0.0000
2 Ac 0.5000 0.0000 0.0000
3 Cr 0.0000 0.0000 0.5000
4 Fe 0.5000 0.5000 0.5000
5 O 0.0000 0.0000 0.0000
6 O 0.2496 0.2496 0.5000
7 O 0.2496 0.7504 0.5000
8 O 0.5000 0.5000 0.0000
9 O 0.7504 0.2496 0.5000
10 O 0.7504 0.7504 0.5000

Summary:
- SG: No. 123
- Magnetic moment: 8.0 μB/f.u.
- DFT total energy: -7.730 eV/atom

[5]
The following is a PBE+U calculation of AcCr2FeO8 after structural relaxation, from the Alexandria database.

Unit cell a=6.1403 b=6.1403 c=6.1403 alpha=106.45 beta=106.45 gamma=115.70
Atoms (fractional coordinates):
1 Ac 0.0000 0.0000 0.0000
2 Cr 0.2500 0.7500 0.5000
3 Cr 0.5000 0.5000 0.0000
4 Fe 0.7500 0.2500 0.5000
5 O 0.0877 0.4144 0.3267
6 O 0.0877 0.7610 0.6733
7 O 0.1485 0.3345 0.8141
8 O 0.2390 0.9123 0.3267
9 O 0.5204 0.3345 0.1859
10 O 0.5856 0.9123 0.6733
11 O 0.6655 0.4796 0.8141
12 O 0.6655 0.8515 0.1859

Summary:
- SG: No. 119
- Magnetic moment: 5.0 μB/f.u.
- DFT total energy: -7.065 eV/atom

- What is the formula in the first record?
  Rb2AcCr3F12